## 1
Computed, not measured: a relaxed structure of KSc2Br at the GGA-PBE level of DFT.

The structure belongs to space group Cmmm (No. 65); the cell edges are 6.099, 12.418 and 3.391 Å and the angles 90.00°, 90.00° and 90.00°. The distinct sites, in fractional coordinates, are K at (0.000, 0.000, 0.000), Sc at (0.250, 0.250, 0.500) and Br at (0.000, 0.500, 0.000).

As for the crystal system: orthorhombic. The spin magnetization comes out at 1.93 μB/f.u. For the volume, the calculation gives 32.103 Å³ per atom.



## 2
Computed, not measured: a relaxed structure of KSc2Br at the GGA-PBE level of DFT.

The structure belongs to space group Immm (No. 71); the cell edges are 3.382, 5.388 and 12.809 Å and the angles 90.00°, 90.00° and 90.00°. The distinct sites, in fractional coordinates, are K at (0.000, 0.000, 0.000), Sc at (0.000, 0.500, 0.207) and Br at (0.000, 0.000, 0.500).

As for the crystal system: orthorhombic. The spin magnetization comes out at 1.38 μB/f.u. For the volume, the calculation gives 29.180 Å³ per atom.



Most stable structure: 2